(1)
Sr2BeCo2 | GGA-PBEsol | optimized geometry

Summary:
calculated formation energy	0.61	eV per atom
total moment	3.48	μB per cell
SG	I4/mmm (139)
total energy	-4.022	eV per atom

Unit cell a=9.623 b=9.623 c=9.623 alpha=159.88 beta=159.88 gamma=28.61
Fractional coordinates of all 5 atoms:
Sr  0.111  0.111  0.000
Sr  0.889  0.889  0.000
Be  0.500  0.500  0.000
Co  0.250  0.750  0.500
Co  0.750  0.250  0.500

***

(2)
LaZn2Os | GGA-PBEsol | optimized geometry

Summary:
calculated formation energy	0.33	eV per atom
total moment	0.00	μB per cell
SG	Cmmm (65)
total energy	-4.848	eV per atom

Unit cell a=4.785 b=4.785 c=3.331 alpha=90.00 beta=90.00 gamma=110.21
Fractional coordinates of all 4 atoms:
La  0.000  0.000  0.000
Zn  0.000  0.500  0.500
Zn  0.500  0.000  0.500
Os  0.500  0.500  0.000

***

(3)
NaPWO6 | GGA-PBEsol | optimized geometry

Summary:
total moment	0.00	μB per cell
SG	P2_1/c (14)
total energy	-8.021	eV per atom

Unit cell a=6.370 b=11.966 c=13.534 alpha=90.00 beta=116.71 gamma=90.00
Fractional coordinates of all 72 atoms:
Na  0.075  0.208  0.122
Na  0.075  0.292  0.622
Na  0.385  0.682  0.851
Na  0.385  0.818  0.351
Na  0.615  0.182  0.649
Na  0.615  0.318  0.149
Na  0.925  0.708  0.378
Na  0.925  0.792  0.878
P  0.184  0.113  0.436
P  0.184  0.387  0.936
P  0.365  0.541  0.623
P  0.365  0.959  0.123
P  0.635  0.041  0.877
P  0.635  0.459  0.377
P  0.816  0.613  0.064
P  0.816  0.887  0.564
W  0.142  0.103  0.888
W  0.142  0.397  0.388
W  0.386  0.604  0.132
W  0.386  0.896  0.632
W  0.614  0.104  0.368
W  0.614  0.396  0.868
W  0.858  0.603  0.612
W  0.858  0.897  0.112
O  0.021  0.168  0.757
O  0.021  0.332  0.257
O  0.077  0.579  0.128
O  0.077  0.921  0.628
O  0.095  0.539  0.358
O  0.095  0.961  0.858
O  0.148  0.618  0.591
O  0.148  0.882  0.091
O  0.209  0.238  0.469
O  0.209  0.262  0.969
O  0.278  0.678  0.007
O  0.278  0.822  0.507
O  0.294  0.071  0.062
O  0.294  0.087  0.357
O  0.294  0.413  0.857
O  0.294  0.429  0.562
O  0.314  0.049  0.544
O  0.314  0.451  0.044
O  0.469  0.107  0.913
O  0.469  0.393  0.413
O  0.475  0.708  0.234
O  0.475  0.792  0.734
O  0.487  0.524  0.748
O  0.487  0.976  0.248
O  0.513  0.024  0.752
O  0.513  0.476  0.252
O  0.525  0.208  0.266
O  0.525  0.292  0.766
O  0.531  0.607  0.587
O  0.531  0.893  0.087
O  0.686  0.549  0.956
O  0.686  0.951  0.456
O  0.706  0.571  0.438
O  0.706  0.587  0.143
O  0.706  0.913  0.643
O  0.706  0.929  0.938
O  0.722  0.178  0.493
O  0.722  0.322  0.993
O  0.791  0.738  0.031
O  0.791  0.762  0.531
O  0.852  0.118  0.909
O  0.852  0.382  0.409
O  0.905  0.039  0.142
O  0.905  0.461  0.642
O  0.923  0.079  0.372
O  0.923  0.421  0.872
O  0.979  0.668  0.743
O  0.979  0.832  0.243

***

(4)
BaRu2Au | GGA-PBEsol | optimized geometry

Summary:
calculated formation energy	1.04	eV per atom
total moment	1.56	μB per cell
SG	Cmmm (65)
total energy	-5.569	eV per atom

Unit cell a=5.246 b=5.246 c=2.898 alpha=90.00 beta=90.00 gamma=109.67
Fractional coordinates of all 4 atoms:
Ba  0.000  0.000  0.000
Ru  0.000  0.500  0.500
Ru  0.500  0.000  0.500
Au  0.500  0.500  0.000

***

(5)
ScTc2BiMo | GGA-PBEsol | optimized geometry

Summary:
calculated formation energy	1.18	eV per atom
total moment	0.00	μB per cell
SG	P4/mmm (123)
total energy	-7.860	eV per atom

Unit cell a=4.610 b=4.610 c=5.209 alpha=90.00 beta=90.00 gamma=90.00
Fractional coordinates of all 5 atoms:
Sc  0.000  0.000  0.000
Tc  0.000  0.500  0.500
Tc  0.500  0.000  0.500
Bi  0.500  0.500  0.000
Mo  0.500  0.500  0.500

***

(6)
MoOsRh2 | GGA-PBEsol | optimized geometry

Summary:
calculated formation energy	-0.02	eV per atom
total moment	0.00	μB per cell
SG	C2/m (12)
total energy	-10.090	eV per atom

Unit cell a=4.707 b=4.707 c=4.668 alpha=99.68 beta=99.68 gamma=33.35
Fractional coordinates of all 4 atoms:
Mo  0.000  0.000  0.000
Os  0.500  0.500  0.500
Rh  0.248  0.248  0.747
Rh  0.752  0.752  0.253

***

(7)
Tl2PtBr | GGA-PBEsol | optimized geometry

Summary:
total moment	0.00	μB per cell
SG	F-43m (216)
total energy	-3.279	eV per atom

Unit cell a=5.082 b=5.082 c=5.082 alpha=60.00 beta=60.00 gamma=60.00
Fractional coordinates of all 4 atoms:
Tl  0.000  0.000  0.000
Tl  0.250  0.250  0.250
Pt  0.500  0.500  0.500
Br  0.750  0.750  0.750

***

(8)
Zr2NiMo | GGA-PBEsol | optimized geometry

Summary:
calculated formation energy	0.29	eV per atom
total moment	0.00	μB per cell
SG	R3m (160)
total energy	-8.737	eV per atom

Unit cell a=8.974 b=8.974 c=8.974 alpha=19.51 beta=19.51 gamma=19.51
Fractional coordinates of all 4 atoms:
Zr  0.000  0.000  0.000
Zr  0.235  0.235  0.235
Ni  0.747  0.747  0.747
Mo  0.481  0.481  0.481

***

Q: Look up the total energy of the seventh one.
A: -3.279 eV per atom

***

Repeat the seventh record exactly.
Tl2PtBr | GGA-PBEsol | optimized geometry

Summary:
total moment	0.00	μB per cell
SG	F-43m (216)
total energy	-3.279	eV per atom

Unit cell a=5.082 b=5.082 c=5.082 alpha=60.00 beta=60.00 gamma=60.00
Fractional coordinates of all 4 atoms:
Tl  0.000  0.000  0.000
Tl  0.250  0.250  0.250
Pt  0.500  0.500  0.500
Br  0.750  0.750  0.750